# 1
Compound: SrCdGaAg3
Source: the Alexandria database
Functional: PBE
Structure: relaxed

Lattice parameters (Å, degrees): 6.161 7.188 7.486 118.69 90.00 90.00
Fractional positions:
Ag 0.000 0.305 0.000
Ag 0.750 0.835 0.671
Sr 0.250 0.706 0.411
Cd 0.250 0.947 0.894
Ga 0.750 0.633 0.266
Ag 0.000 0.695 0.000
Cd 0.750 0.053 0.106
Sr 0.750 0.294 0.589
Ga 0.250 0.367 0.734
Ag 0.250 0.165 0.329
Ag 0.500 0.305 0.000
Ag 0.500 0.695 0.000

## Properties
Raw total energy: -2.456 eV per atom
Volume: 24.2 Å³ per atom
Formation energy from the elements: -0.0927 eV per atom

=====

# 2
Compound: Sr3CdGa2Ag6
Source: the Alexandria database
Functional: PBE
Structure: relaxed

Lattice parameters (Å, degrees): 6.230 6.230 9.133 90.00 90.00 120.00
Fractional positions:
Cd 0.000 0.000 0.500
Sr 0.667 0.333 0.383
Ag 0.180 0.360 0.274
Ag 0.180 0.820 0.274
Sr 0.333 0.667 0.617
Ga 0.667 0.333 0.981
Ag 0.360 0.180 0.726
Ag 0.820 0.640 0.726
Ag 0.820 0.180 0.726
Sr 0.000 0.000 0.000
Ga 0.333 0.667 0.019
Ag 0.640 0.820 0.274

## Properties
Raw total energy: -2.568 eV per atom
Volume: 25.6 Å³ per atom
Formation energy from the elements: -0.1412 eV per atom